## one
Here is a geometry-optimized Mg2CuSe4 structure from Alexandria via LeMat-Bulk. Energies are from PBE-GGA.

Properties
Crystal system: trigonal

Cell and atoms, written as CIF:
```
data_Mg2CuSe4
_chemical_formula_sum 'Mg2 Cu1 Se4'
_space_group_name_H-M_alt 'P 1'
_space_group_IT_number 1
_cell_length_a 9.168
_cell_length_b 9.168
_cell_length_c 9.168
_cell_angle_alpha 29.04
_cell_angle_beta 29.04
_cell_angle_gamma 29.04
loop_
_space_group_symop_operation_xyz
'x,y,z'
loop_
_atom_site_label
_atom_site_fract_x
_atom_site_fract_y
_atom_site_fract_z
Se1 0.830 0.830 0.830
Se2 0.621 0.621 0.621
Se3 0.379 0.379 0.379
Se4 0.170 0.170 0.170
Mg1 0.270 0.270 0.270
Mg2 0.730 0.730 0.730
Cu1 0.000 0.000 0.000
```

## two
Here is a geometry-optimized Mg2CuSe4 structure from Alexandria via LeMat-Bulk. Energies are from PBE-GGA.

Properties
Crystal system: tetragonal

Cell and atoms, written as CIF:
```
data_Mg2CuSe4
_chemical_formula_sum 'Mg2 Cu1 Se4'
_space_group_name_H-M_alt 'P 1'
_space_group_IT_number 1
_cell_length_a 6.441
_cell_length_b 6.441
_cell_length_c 6.441
_cell_angle_alpha 112.81
_cell_angle_beta 112.81
_cell_angle_gamma 102.97
loop_
_space_group_symop_operation_xyz
'x,y,z'
loop_
_atom_site_label
_atom_site_fract_x
_atom_site_fract_y
_atom_site_fract_z
Se1 0.771 0.500 0.271
Se2 0.500 0.771 0.271
Se3 0.229 0.500 0.729
Se4 0.500 0.229 0.729
Cu1 0.000 0.000 0.000
Mg1 0.750 0.250 0.500
Mg2 0.250 0.750 0.500
```

Which of them is least stable? Easy: two.

## one
Here is a geometry-optimized MgCu2Se structure from Alexandria via LeMat-Bulk. Energies are from PBE-GGA.

Properties
Crystal system: monoclinic

Cell and atoms, written as CIF:
```
data_MgCu2Se
_chemical_formula_sum 'Mg1 Cu2 Se1'
_space_group_name_H-M_alt 'P 1'
_space_group_IT_number 1
_cell_length_a 3.498
_cell_length_b 3.521
_cell_length_c 5.708
_cell_angle_alpha 70.76
_cell_angle_beta 90.00
_cell_angle_gamma 90.00
loop_
_space_group_symop_operation_xyz
'x,y,z'
loop_
_atom_site_label
_atom_site_fract_x
_atom_site_fract_y
_atom_site_fract_z
Se1 0.500 0.952 0.715
Cu1 0.000 0.791 0.050
Cu2 0.500 0.206 0.210
Mg1 0.000 0.551 0.526
```

## two
Here is a geometry-optimized MgCu2Se structure from Alexandria via LeMat-Bulk. Energies are from PBE-GGA.

Properties
Crystal system: cubic

Cell and atoms, written as CIF:
```
data_MgCu2Se
_chemical_formula_sum 'Mg1 Cu2 Se1'
_space_group_name_H-M_alt 'P 1'
_space_group_IT_number 1
_cell_length_a 4.521
_cell_length_b 4.521
_cell_length_c 4.521
_cell_angle_alpha 60.00
_cell_angle_beta 60.00
_cell_angle_gamma 60.00
loop_
_space_group_symop_operation_xyz
'x,y,z'
loop_
_atom_site_label
_atom_site_fract_x
_atom_site_fract_y
_atom_site_fract_z
Cu1 0.750 0.750 0.750
Cu2 0.250 0.250 0.250
Se1 0.500 0.500 0.500
Mg1 0.000 0.000 0.000
```

## three
Here is a geometry-optimized MgCu2Se structure from Alexandria via LeMat-Bulk. Energies are from PBE-GGA.

Properties
Crystal system: orthorhombic

Cell and atoms, written as CIF:
```
data_MgCu2Se
_chemical_formula_sum 'Mg2 Cu4 Se2'
_space_group_name_H-M_alt 'P 1'
_space_group_IT_number 1
_cell_length_a 9.508
_cell_length_b 9.508
_cell_length_c 3.991
_cell_angle_alpha 90.00
_cell_angle_beta 90.00
_cell_angle_gamma 157.49
loop_
_space_group_symop_operation_xyz
'x,y,z'
loop_
_atom_site_label
_atom_site_fract_x
_atom_site_fract_y
_atom_site_fract_z
Mg1 0.074 0.926 0.750
Mg2 0.926 0.074 0.250
Cu1 0.535 0.465 0.250
Cu2 0.465 0.535 0.750
Cu3 0.744 0.256 0.750
Cu4 0.256 0.744 0.250
Se1 0.336 0.664 0.750
Se2 0.664 0.336 0.250
```

## four
Here is a geometry-optimized MgCu2Se structure from Alexandria via LeMat-Bulk. Energies are from PBE-GGA.

Properties
Crystal system: orthorhombic

Cell and atoms, written as CIF:
```
data_MgCu2Se
_chemical_formula_sum 'Mg2 Cu4 Se2'
_space_group_name_H-M_alt 'P 1'
_space_group_IT_number 1
_cell_length_a 5.976
_cell_length_b 5.976
_cell_length_c 8.064
_cell_angle_alpha 90.00
_cell_angle_beta 90.00
_cell_angle_gamma 149.52
loop_
_space_group_symop_operation_xyz
'x,y,z'
loop_
_atom_site_label
_atom_site_fract_x
_atom_site_fract_y
_atom_site_fract_z
Cu1 0.195 0.805 0.910
Cu2 0.805 0.195 0.410
Cu3 0.805 0.195 0.090
Cu4 0.195 0.805 0.590
Se1 0.559 0.441 0.750
Se2 0.441 0.559 0.250
Mg1 0.137 0.863 0.250
Mg2 0.863 0.137 0.750
```

Which of them is least stable? Easy: two.

## one
Here is a geometry-optimized MgCu2Se structure from Alexandria via LeMat-Bulk. Energies are from PBE-GGA.

Properties
Crystal system: orthorhombic

Cell and atoms, written as CIF:
```
data_MgCu2Se
_chemical_formula_sum 'Mg2 Cu4 Se2'
_space_group_name_H-M_alt 'P 1'
_space_group_IT_number 1
_cell_length_a 5.521
_cell_length_b 5.521
_cell_length_c 5.293
_cell_angle_alpha 90.00
_cell_angle_beta 90.00
_cell_angle_gamma 105.29
loop_
_space_group_symop_operation_xyz
'x,y,z'
loop_
_atom_site_label
_atom_site_fract_x
_atom_site_fract_y
_atom_site_fract_z
Mg1 0.721 0.279 0.750
Mg2 0.279 0.721 0.250
Cu1 0.377 0.275 0.250
Cu2 0.623 0.725 0.750
Cu3 0.275 0.377 0.750
Cu4 0.725 0.623 0.250
Se1 0.000 0.000 0.000
Se2 0.000 0.000 0.500
```

## two
Here is a geometry-optimized MgCu2Se structure from Alexandria via LeMat-Bulk. Energies are from PBE-GGA.

Properties
Crystal system: tetragonal

Cell and atoms, written as CIF:
```
data_MgCu2Se
_chemical_formula_sum 'Mg1 Cu2 Se1'
_space_group_name_H-M_alt 'P 1'
_space_group_IT_number 1
_cell_length_a 3.442
_cell_length_b 3.442
_cell_length_c 5.531
_cell_angle_alpha 90.00
_cell_angle_beta 90.00
_cell_angle_gamma 90.03
loop_
_space_group_symop_operation_xyz
'x,y,z'
loop_
_atom_site_label
_atom_site_fract_x
_atom_site_fract_y
_atom_site_fract_z
Se1 0.500 0.500 0.737
Cu1 0.000 0.000 0.048
Cu2 0.500 0.500 0.204
Mg1 0.000 0.000 0.511
```

Which of them is least stable? Easy: one.

## one
Here is a geometry-optimized MgCu2Se structure from Alexandria via LeMat-Bulk. Energies are from PBE-GGA.

Properties
Crystal system: cubic

Cell and atoms, written as CIF:
```
data_MgCu2Se
_chemical_formula_sum 'Mg1 Cu2 Se1'
_space_group_name_H-M_alt 'P 1'
_space_group_IT_number 1
_cell_length_a 4.521
_cell_length_b 4.521
_cell_length_c 4.521
_cell_angle_alpha 60.00
_cell_angle_beta 60.00
_cell_angle_gamma 60.00
loop_
_space_group_symop_operation_xyz
'x,y,z'
loop_
_atom_site_label
_atom_site_fract_x
_atom_site_fract_y
_atom_site_fract_z
Se1 0.750 0.750 0.750
Cu1 0.000 0.000 0.000
Cu2 0.250 0.250 0.250
Mg1 0.500 0.500 0.500
```

## two
Here is a geometry-optimized MgCu2Se structure from Alexandria via LeMat-Bulk. Energies are from PBE-GGA.

Properties
Crystal system: orthorhombic

Cell and atoms, written as CIF:
```
data_MgCu2Se
_chemical_formula_sum 'Mg2 Cu4 Se2'
_space_group_name_H-M_alt 'P 1'
_space_group_IT_number 1
_cell_length_a 4.064
_cell_length_b 4.235
_cell_length_c 8.418
_cell_angle_alpha 90.00
_cell_angle_beta 90.00
_cell_angle_gamma 90.00
loop_
_space_group_symop_operation_xyz
'x,y,z'
loop_
_atom_site_label
_atom_site_fract_x
_atom_site_fract_y
_atom_site_fract_z
Se1 0.000 0.500 0.351
Se2 0.500 0.000 0.649
Mg1 0.000 0.500 0.994
Mg2 0.500 0.000 0.006
Cu1 0.000 0.000 0.802
Cu2 0.000 0.500 0.643
Cu3 0.500 0.500 0.198
Cu4 0.500 0.000 0.357
```

Which of them is least stable? Easy: one.